Compound: HoTm2Ir2
Source: Alexandria
Functional: GGA-PBE
Structure: relaxed

The structure belongs to space group P2_1/m (No. 11); the cell edges are 5.455, 4.348 and 10.274 Å and the angles 90.00°, 96.70° and 90.00°. The asymmetric unit holds Ho at (0.101, 0.250, 0.291), Tm at (0.250, 0.250, 0.969), Tm at (0.390, 0.250, 0.618), Ir at (0.157, 0.750, 0.475) and Ir at (0.268, 0.750, 0.142).

Its offset from the most stable computed form is 62 meV per atom. As for the crystal system: monoclinic. Its energy is -7.030 eV per atom.


Compound: Ce8IrPt2
Source: Alexandria
Functional: GGA-PBE
Structure: relaxed

The structure belongs to space group C2/m (No. 12); the cell edges are 17.910, 4.589 and 6.603 Å and the angles 90.00°, 99.63° and 90.00°. The asymmetric unit holds Ce at (0.008, 0.000, 0.256), Ce at (0.092, 0.500, 0.454), Ce at (0.159, 0.500, 0.988), Ce at (0.221, 0.000, 0.250), Ir at (0.000, 0.500, 0.000) and Pt at (0.165, 0.000, 0.682).

As for the crystal system: monoclinic. Its energy is -6.725 eV per atom.